No. 1
This record from the Alexandria database describes an optimized crystal structure of CaCI2O. The functional is PBE.

The space group is P4/mmm (No. 123) and the conventional cell measures 5.4311, 5.4311 and 3.6429 Å, with angles of 90.00, 90.00 and 90.00 degrees. Symmetry generates all atoms from Ca at (0.0000, 0.0000, 0.0000), C at (0.5000, 0.5000, 0.5000), I at (0.0000, 0.5000, 0.5000) and O at (0.5000, 0.5000, 0.0000).

The uncorrected formation energy is 0.335 eV/atom. Its calculated density is 4.97 g/cm³. As for the excess energy over the best structure of this formula in the dataset: 0.00 eV/f.u. The calculation puts the total magnetization at 0.0 μB/cell. Its raw total energy is -3.522 eV per atom.


No. 2
This record from the Alexandria database describes an optimized crystal structure of CaCIO2. The functional is PBE.

The space group is P4/mmm (No. 123) and the conventional cell measures 4.2240, 4.2240 and 7.3523 Å, with angles of 90.00, 90.00 and 90.00 degrees. Symmetry generates all atoms from Ca at (0.0000, 0.0000, 0.0000), C at (0.5000, 0.5000, 0.5000), I at (0.0000, 0.0000, 0.5000) and O at (0.0000, 0.5000, 0.0000).

The uncorrected formation energy is 0.779 eV/atom. Its calculated density is 2.67 g/cm³. As for the excess energy over the best structure of this formula in the dataset: 1.98 eV/f.u. The calculation puts the total magnetization at 3.1 μB/cell. Its raw total energy is -3.760 eV per atom.


No. 3
This record from the Alexandria database describes an optimized crystal structure of CaCIO2. The functional is PBE.

The space group is P4/mmm (No. 123) and the conventional cell measures 4.1617, 4.1617 and 4.3480 Å, with angles of 90.00, 90.00 and 90.00 degrees. Symmetry generates all atoms from Ca at (0.0000, 0.0000, 0.0000), C at (0.5000, 0.5000, 0.5000), I at (0.5000, 0.5000, 0.0000) and O at (0.0000, 0.5000, 0.5000).

The uncorrected formation energy is 0.383 eV/atom. Its calculated density is 4.65 g/cm³. As for the excess energy over the best structure of this formula in the dataset: 0.00 eV/f.u. The calculation puts the total magnetization at 0.0 μB/cell. Its raw total energy is -4.156 eV per atom.